Pu2CoAu: relaxed, PBE.

Calculated values
volume	18.88	Å³/atom
crystal system	trigonal
calculated density	16.36	Mg/m³
energy of formation	0.220	eV per atom
density of states at the Fermi level	11.2	states/eV/cell

```
Pu2CoAu
1.0
-0.970 -2.399 1.412
0.996 -0.623 2.704
-7.467 4.365 5.365
Co Pu Au
1 2 1
direct
0.000 0.000 0.000 Co
0.258 0.258 0.226 Pu
0.742 0.742 0.774 Pu
0.500 0.500 0.500 Au
```

Pu2CoAu: relaxed, PBE.

Calculated values
volume	20.67	Å³/atom
crystal system	tetragonal
calculated density	14.94	Mg/m³
energy of formation	-0.168	eV per atom
density of states at the Fermi level	13.4	states/eV/cell

```
Pu2CoAu
1.0
3.256 0.000 0.000
0.000 3.256 0.000
0.000 0.000 7.801
Co Au Pu
1 1 2
direct
0.500 0.500 0.000 Co
0.500 0.500 0.500 Au
0.000 0.000 0.217 Pu
0.000 0.000 0.783 Pu
```

PuCo3Au2: relaxed, PBE.

Calculated values
volume	16.19	Å³/atom
crystal system	orthorhombic
calculated density	13.93	Mg/m³
energy of formation	0.460	eV per atom
density of states at the Fermi level	16.6	states/eV/cell

```
PuCo3Au2
1.0
4.236 0.000 0.000
0.000 5.156 0.005
0.000 2.582 4.450
Au Co Pu
2 3 1
direct
0.000 0.334 0.333 Au
0.000 0.666 0.667 Au
0.500 0.500 0.000 Co
0.500 0.000 0.500 Co
0.500 0.500 0.500 Co
0.000 0.000 0.000 Pu
```

PuCo4Au: relaxed, PBE.

Calculated values
volume	14.26	Å³/atom
crystal system	cubic
calculated density	13.13	Mg/m³
energy of formation	-0.111	eV per atom
density of states at the Fermi level	7.4	states/eV/cell

```
PuCo4Au
1.0
-1.600 0.544 -4.649
0.056 -3.853 -3.102
-4.250 -2.098 -1.415
Pu Au Co
1 1 4
direct
0.000 0.000 0.000 Pu
0.250 0.250 0.250 Au
0.126 0.625 0.625 Co
0.625 0.126 0.625 Co
0.625 0.625 0.126 Co
0.625 0.625 0.625 Co
```

Pu2CoAu: relaxed, PBE.

Calculated values
volume	17.98	Å³/atom
crystal system	triclinic
calculated density	17.17	Mg/m³
energy of formation	0.231	eV per atom
density of states at the Fermi level	8.8	states/eV/cell

```
Pu2CoAu
1.0
-3.180 -1.332 -0.410
-0.275 -4.877 3.114
-2.124 -1.147 4.647
Pu Au Co
2 1 1
direct
0.465 0.603 0.455 Pu
0.035 0.897 0.045 Pu
0.250 0.250 0.250 Au
0.750 0.750 0.750 Co
```

TbPuCoAu: relaxed, PBE.

Calculated values
volume	21.60	Å³/atom
crystal system	cubic
calculated density	12.66	Mg/m³
energy of formation	-0.210	eV per atom
density of states at the Fermi level	12.5	states/eV/cell

```
TbPuCoAu
1.0
4.962 0.000 0.000
2.481 4.297 0.000
2.481 1.432 4.052
Au Co Pu Tb
1 1 1 1
direct
0.000 0.000 0.000 Au
0.500 0.500 0.500 Co
0.250 0.250 0.250 Pu
0.750 0.750 0.750 Tb
```

Rb2Co2Au: relaxed, PBE.

Calculated values
volume	32.25	Å³/atom
crystal system	tetragonal
calculated density	5.00	Mg/m³
energy of formation	0.756	eV per atom
density of states at the Fermi level	6.8	states/eV/cell

```
Rb2Co2Au
1.0
6.668 0.000 0.000
0.000 6.668 0.000
3.334 3.334 3.628
Co Rb Au
2 2 1
direct
0.643 0.643 0.715 Co
0.357 0.357 0.285 Co
0.250 0.750 0.500 Rb
0.750 0.250 0.500 Rb
0.000 0.000 0.000 Au
```

RbCoAu3: relaxed, PBE.

Calculated values
volume	25.12	Å³/atom
crystal system	cubic
calculated density	9.72	Mg/m³
energy of formation	0.264	eV per atom
density of states at the Fermi level	5.7	states/eV/cell

```
RbCoAu3
1.0
5.008 0.000 0.000
0.000 5.008 0.000
0.000 0.000 5.008
Co Au Rb
1 3 1
direct
0.000 0.000 0.000 Co
0.000 0.000 0.500 Au
0.000 0.500 0.000 Au
0.500 0.000 0.000 Au
0.500 0.500 0.500 Rb
```

Rb2Co2Au: relaxed, PBE.

Calculated values
volume	25.04	Å³/atom
crystal system	tetragonal
calculated density	6.44	Mg/m³
energy of formation	0.633	eV per atom
density of states at the Fermi level	9.2	states/eV/cell

```
Rb2Co2Au
1.0
6.662 0.000 0.000
0.000 6.662 0.000
0.000 0.000 5.641
Co Rb Au
4 4 2
direct
0.883 0.617 0.000 Co
0.383 0.883 0.000 Co
0.117 0.383 0.000 Co
0.617 0.117 0.000 Co
0.310 0.190 0.500 Rb
0.190 0.690 0.500 Rb
0.690 0.810 0.500 Rb
0.810 0.310 0.500 Rb
0.000 0.000 0.000 Au
0.500 0.500 0.000 Au
```

Rb2CoAu: relaxed, PBE.

Calculated values
volume	37.29	Å³/atom
crystal system	cubic
calculated density	4.75	Mg/m³
energy of formation	0.676	eV per atom
density of states at the Fermi level	12.0	states/eV/cell

```
Rb2CoAu
1.0
-2.201 -4.041 3.777
-4.614 -3.392 -1.626
0.798 -5.804 -1.053
Rb Co Au
2 1 1
direct
0.250 0.250 0.250 Rb
0.750 0.750 0.750 Rb
0.000 0.000 0.000 Co
0.500 0.500 0.500 Au
```

Rb2CoAu: relaxed, PBE.

Calculated values
volume	45.87	Å³/atom
crystal system	tetragonal
calculated density	3.86	Mg/m³
energy of formation	0.720	eV per atom
density of states at the Fermi level	16.5	states/eV/cell

```
Rb2CoAu
1.0
-1.737 -7.733 4.817
-2.905 -4.177 -7.754
1.651 -7.317 -2.223
Rb Au Co
4 2 2
direct
0.375 0.362 0.750 Rb
0.875 0.888 0.750 Rb
0.112 0.625 0.250 Rb
0.638 0.125 0.250 Rb
0.750 0.250 0.500 Au
0.000 0.000 0.000 Au
0.500 0.500 0.000 Co
0.250 0.750 0.500 Co
```

RbCoAu3: relaxed, PBE.

Calculated values
volume	39.66	Å³/atom
crystal system	cubic
calculated density	6.16	Mg/m³
energy of formation	1.832	eV per atom
density of states at the Fermi level	6.2	states/eV/cell

```
RbCoAu3
1.0
-5.315 0.220 2.390
0.098 -5.782 0.750
2.398 0.724 5.266
Au Rb Co
3 1 1
direct
0.000 0.000 0.500 Au
0.500 0.000 0.000 Au
0.000 0.500 0.000 Au
0.000 0.000 0.000 Rb
0.500 0.500 0.500 Co
```

RbSr2CoAu: relaxed, PBE.

Calculated values
volume	33.92	Å³/atom
crystal system	tetragonal
calculated density	5.06	Mg/m³
energy of formation	1.128	eV per atom
density of states at the Fermi level	3.7	states/eV/cell

```
RbSr2CoAu
1.0
-4.700 3.795 1.325
-2.387 -1.817 -3.265
-2.252 -4.175 3.969
Sr Rb Co Au
2 1 1 1
direct
0.500 0.000 0.000 Sr
0.000 0.000 0.500 Sr
0.000 0.000 0.000 Rb
0.000 0.500 0.000 Co
0.500 0.500 0.500 Au
```

RbTl2CoAu: relaxed, PBE.

Calculated values
volume	32.53	Å³/atom
crystal system	tetragonal
calculated density	7.66	Mg/m³
energy of formation	0.486	eV per atom
density of states at the Fermi level	7.0	states/eV/cell

```
RbTl2CoAu
1.0
-0.108 4.906 2.781
-0.456 -2.518 4.424
5.618 -0.155 0.491
Tl Co Au Rb
2 1 1 1
direct
0.500 0.000 0.000 Tl
0.000 0.000 0.500 Tl
0.000 0.500 0.000 Co
0.000 0.000 0.000 Au
0.500 0.500 0.500 Rb
```

Rb2CoWAu: relaxed, PBE.

Calculated values
volume	41.86	Å³/atom
crystal system	tetragonal
calculated density	4.84	Mg/m³
energy of formation	1.716	eV per atom
density of states at the Fermi level	3.9	states/eV/cell

```
Rb2CoWAu
1.0
6.537 0.000 0.000
0.000 4.898 0.000
0.000 0.000 6.537
W Au Rb Co
1 1 2 1
direct
0.500 0.500 0.500 W
0.000 0.000 0.000 Au
0.500 0.000 0.000 Rb
0.000 0.000 0.500 Rb
0.000 0.500 0.000 Co
```

CoReAu: relaxed, PBE.

Calculated values
volume	14.30	Å³/atom
crystal system	hexagonal
calculated density	17.12	Mg/m³
energy of formation	0.483	eV per atom
density of states at the Fermi level	1.0	states/eV/cell

```
CoReAu
1.0
-1.221 -1.311 -3.939
0.088 -2.814 3.286
-2.511 0.598 0.579
Au Co Re
1 1 1
direct
0.000 0.000 0.166 Au
0.667 0.333 0.167 Co
0.333 0.667 0.666 Re
```

CoRe4Au: relaxed, PBE.

Calculated values
volume	16.20	Å³/atom
crystal system	cubic
calculated density	17.09	Mg/m³
energy of formation	0.728	eV per atom
density of states at the Fermi level	6.7	states/eV/cell

```
CoRe4Au
1.0
-3.410 -3.260 2.093
-5.020 0.453 -1.110
-2.323 -3.546 -2.944
Re Au Co
4 1 1
direct
0.625 0.125 0.625 Re
0.125 0.625 0.625 Re
0.625 0.625 0.625 Re
0.625 0.625 0.125 Re
0.250 0.250 0.250 Au
0.000 0.000 0.000 Co
```

Co2Re2Au: relaxed, PBE.

Calculated values
volume	13.84	Å³/atom
crystal system	tetragonal
calculated density	16.49	Mg/m³
energy of formation	0.277	eV per atom
density of states at the Fermi level	7.7	states/eV/cell

```
Co2Re2Au
1.0
7.225 0.000 0.000
0.000 7.225 0.000
0.000 0.000 2.652
Re Co Au
4 4 2
direct
0.830 0.330 0.500 Re
0.330 0.170 0.500 Re
0.170 0.670 0.500 Re
0.670 0.830 0.500 Re
0.621 0.121 0.000 Co
0.879 0.621 0.000 Co
0.121 0.379 0.000 Co
0.379 0.879 0.000 Co
0.000 0.000 0.000 Au
0.500 0.500 0.000 Au
```

CoReAu: relaxed, PBE.

Calculated values
volume	14.73	Å³/atom
crystal system	trigonal
calculated density	16.62	Mg/m³
energy of formation	0.286	eV per atom
density of states at the Fermi level	2.5	states/eV/cell

```
CoReAu
1.0
-0.465 2.523 -0.997
-1.690 -2.072 -0.654
-3.814 1.417 5.364
Au Co Re
1 1 1
direct
0.000 0.000 0.011 Au
0.667 0.333 0.351 Co
0.333 0.667 0.638 Re
```

CoReAu: relaxed, PBE.

Calculated values
volume	14.45	Å³/atom
crystal system	orthorhombic
calculated density	16.93	Mg/m³
energy of formation	0.389	eV per atom
density of states at the Fermi level	2.3	states/eV/cell

```
CoReAu
1.0
4.858 -0.012 -0.001
2.681 4.051 0.001
-3.443 -2.629 2.199
Au Co Re
1 1 1
direct
0.998 0.998 0.000 Au
0.315 0.315 0.000 Co
0.687 0.687 0.000 Re
```